# 1
## SiAuI3 (PBE)

Data for a relaxed SiAuI3 crystal.

The value obtained for the total moment is 0.00 μB/f.u. The value obtained for the uncorrected formation energy is 10.083 kcal/mol of atoms.

Cell and atoms, written as extended XYZ:
```
5
Lattice="5.530 0.000 0.000 0.000 5.530 0.000 0.000 0.000 5.530" Properties=species:S:1:pos:R:3 pbc="T T T"
I 0.000 0.000 2.765
I 2.765 0.000 0.000
I 0.000 2.765 0.000
Au 2.765 2.765 2.765
Si 0.000 0.000 0.000
```



# 2
## SiAuI (PBE)

Data for a relaxed SiAuI crystal.

The value obtained for the total moment is 0.00 μB/f.u. The value obtained for the uncorrected formation energy is -0.690 kcal/mol of atoms.

Cell and atoms, written as extended XYZ:
```
6
Lattice="4.790 0.144 -0.012 2.228 4.664 0.103 2.249 0.335 8.903" Properties=species:S:1:pos:R:3 pbc="T T T"
Si 4.560 4.371 3.739
Si 4.707 0.773 5.254
I 7.003 3.642 7.353
I 2.264 1.501 1.641
Au 2.293 1.348 5.464
Au 6.974 3.796 3.530
```



# 3
## SiAuI3 (PBE)

Data for a relaxed SiAuI3 crystal.

The value obtained for the total moment is 0.80 μB/f.u. The value obtained for the uncorrected formation energy is 14.047 kcal/mol of atoms.

Cell and atoms, written as extended XYZ:
```
5
Lattice="5.630 0.000 0.000 0.000 5.630 0.000 0.000 0.000 5.630" Properties=species:S:1:pos:R:3 pbc="T T T"
I 0.000 0.000 2.815
I 0.000 2.815 0.000
I 2.815 0.000 0.000
Si 2.815 2.815 2.815
Au 0.000 0.000 0.000
```



# 4
## SiAu3I (PBE)

Data for a relaxed SiAu3I crystal.

The value obtained for the total moment is 0.00 μB/f.u. The value obtained for the uncorrected formation energy is 8.753 kcal/mol of atoms.

Cell and atoms, written as extended XYZ:
```
5
Lattice="4.916 0.000 0.000 0.000 4.916 0.000 0.000 0.000 4.916" Properties=species:S:1:pos:R:3 pbc="T T T"
Au 0.000 0.000 2.458
Au 0.000 2.458 0.000
Au 2.458 0.000 0.000
Si 0.000 0.000 0.000
I 2.458 2.458 2.458
```